1.
A plane-wave DFT calculation with GGA-PBE was carried out for a geometry-optimized PmZrInAg structure.

Summary:
The raw total energy is -4.9005 eV/atom. The value obtained for the mass density is 7.81 g cm⁻³. The space group is F-43m, No. 216. The energy of formation is -178 meV/atom.

a = 5.1677 Å, b = 5.1677 Å, c = 5.1677 Å
α = 60.00°, β = 60.00°, γ = 60.00°
Fractional coordinates of all 4 atoms:
Pm1 0.0000 0.0000 0.0000
Zr1 0.5000 0.5000 0.5000
In1 0.7500 0.7500 0.7500
Ag1 0.2500 0.2500 0.2500


2.
A plane-wave DFT calculation with GGA-PBE was carried out for a geometry-optimized Pr4In3Ag structure.

Summary:
The raw total energy is -4.2048 eV/atom. The value obtained for the mass density is 7.27 g cm⁻³. The space group is P4/mmm, No. 123. The energy of formation is -432 meV/atom.

a = 3.7166 Å, b = 3.7166 Å, c = 16.8081 Å
α = 90.00°, β = 90.00°, γ = 90.00°
Fractional coordinates of all 8 atoms:
Pr1 0.0000 0.0000 0.1171
Pr2 0.0000 0.0000 0.3717
Pr3 0.0000 0.0000 0.6283
Pr4 0.0000 0.0000 0.8829
In1 0.5000 0.5000 0.2417
In2 0.5000 0.5000 0.5000
In3 0.5000 0.5000 0.7583
Ag1 0.5000 0.5000 0.0000


3.
A plane-wave DFT calculation with GGA-PBE was carried out for a geometry-optimized PrIn2Ag3 structure.

Summary:
The raw total energy is -3.3897 eV/atom. The value obtained for the mass density is 8.46 g cm⁻³. The space group is C2/m, No. 12. The energy of formation is -255 meV/atom.

a = 9.0379 Å, b = 9.0379 Å, c = 6.7107 Å
α = 101.81°, β = 101.81°, γ = 30.59°
Fractional coordinates of all 12 atoms:
Pr1 0.1194 0.1194 0.1512
Pr2 0.8806 0.8806 0.8488
In1 0.2311 0.2311 0.6618
In2 0.4849 0.4849 0.2097
In3 0.5151 0.5151 0.7903
In4 0.7689 0.7689 0.3382
Ag1 0.0690 0.0690 0.6533
Ag2 0.3043 0.3043 0.0815
Ag3 0.3691 0.3691 0.5040
Ag4 0.6309 0.6309 0.4960
Ag5 0.6957 0.6957 0.9185
Ag6 0.9310 0.9310 0.3467


4.
A plane-wave DFT calculation with GGA-PBE was carried out for a geometry-optimized PrIn3Ag structure.

Summary:
The raw total energy is -3.4503 eV/atom. The value obtained for the mass density is 7.71 g cm⁻³. The space group is C2/m, No. 12. For the polymorph energy (0 for the lowest one), the calculation gives 0.088 eV per formula unit. The energy of formation is -281 meV/atom.

a = 7.8412 Å, b = 7.8412 Å, c = 7.1838 Å
α = 103.89°, β = 103.89°, γ = 36.70°
Fractional coordinates of all 10 atoms:
Pr1 0.1267 0.1267 0.4594
Pr2 0.8733 0.8733 0.5406
In1 0.0817 0.0817 0.9112
In2 0.2864 0.2864 0.2165
In3 0.3412 0.3412 0.8206
In4 0.6588 0.6588 0.1794
In5 0.7136 0.7136 0.7835
In6 0.9183 0.9183 0.0888
Ag1 0.4837 0.4837 0.2985
Ag2 0.5163 0.5163 0.7015


5.
A plane-wave DFT calculation with GGA-PBE was carried out for a geometry-optimized Pr2In3Ag2 structure.

Summary:
The raw total energy is -3.7002 eV/atom. The value obtained for the mass density is 7.61 g cm⁻³. The space group is Cmcm, No. 63. The energy of formation is -346 meV/atom.

a = 10.4858 Å, b = 10.4858 Å, c = 7.7963 Å
α = 90.00°, β = 90.00°, γ = 154.62°
Fractional coordinates of all 14 atoms:
Pr1 0.0524 0.9476 0.7500
Pr2 0.1594 0.8406 0.2500
Pr3 0.8406 0.1594 0.7500
Pr4 0.9476 0.0524 0.2500
In1 0.2230 0.7770 0.7500
In2 0.4367 0.5633 0.5671
In3 0.4367 0.5633 0.9329
In4 0.5633 0.4367 0.0671
In5 0.5633 0.4367 0.4329
In6 0.7770 0.2230 0.2500
Ag1 0.3084 0.6916 0.0555
Ag2 0.3084 0.6916 0.4445
Ag3 0.6916 0.3084 0.5555
Ag4 0.6916 0.3084 0.9445


6.
A plane-wave DFT calculation with GGA-PBE was carried out for a geometry-optimized Pr4InAg3 structure.

Summary:
The raw total energy is -4.1077 eV/atom. The value obtained for the mass density is 7.48 g cm⁻³. The space group is R-3m, No. 166. The energy of formation is -306 meV/atom.

a = 9.3532 Å, b = 9.3532 Å, c = 9.3532 Å
α = 33.53°, β = 33.53°, γ = 33.53°
Fractional coordinates of all 8 atoms:
Pr1 0.1214 0.1214 0.1214
Pr2 0.3724 0.3724 0.3724
Pr3 0.6276 0.6276 0.6276
Pr4 0.8786 0.8786 0.8786
In1 0.5000 0.5000 0.5000
Ag1 0.0000 0.0000 0.0000
Ag2 0.2454 0.2454 0.2454
Ag3 0.7546 0.7546 0.7546


7.
A plane-wave DFT calculation with GGA-PBE was carried out for a geometry-optimized PrIn6Ag structure.

Summary:
The raw total energy is -3.1821 eV/atom. The value obtained for the mass density is 7.53 g cm⁻³. The space group is Cmmm, No. 65. The energy of formation is -174 meV/atom.

a = 6.7187 Å, b = 6.7187 Å, c = 4.8603 Å
α = 90.00°, β = 90.00°, γ = 109.52°
Fractional coordinates of all 8 atoms:
Pr1 0.0000 0.0000 0.0000
In1 0.0000 0.5000 0.0000
In2 0.2188 0.7812 0.5000
In3 0.2984 0.2984 0.5000
In4 0.5000 0.0000 0.0000
In5 0.7016 0.7016 0.5000
In6 0.7812 0.2188 0.5000
Ag1 0.5000 0.5000 0.0000


8.
A plane-wave DFT calculation with GGA-PBE was carried out for a geometry-optimized PrInAg structure.

Summary:
The raw total energy is -3.7570 eV/atom. The value obtained for the mass density is 7.09 g cm⁻³. The space group is F-43m, No. 216. The energy of formation is -301 meV/atom.

a = 4.9374 Å, b = 4.9374 Å, c = 4.9374 Å
α = 60.00°, β = 60.00°, γ = 60.00°
Fractional coordinates of all 3 atoms:
Pr1 0.0000 0.0000 0.0000
In1 0.5000 0.5000 0.5000
Ag1 0.7500 0.7500 0.7500


9.
A plane-wave DFT calculation with GGA-PBE was carried out for a geometry-optimized PrInAg structure.

Summary:
The raw total energy is -3.8485 eV/atom. The value obtained for the mass density is 7.74 g cm⁻³. The space group is C2/m, No. 12. The energy of formation is -392 meV/atom.

a = 6.0248 Å, b = 6.0248 Å, c = 7.6318 Å
α = 126.42°, β = 126.42°, γ = 47.75°
Fractional coordinates of all 6 atoms:
Pr1 0.0357 0.0357 0.2950
Pr2 0.9642 0.9642 0.7050
In1 0.3331 0.3331 0.8845
In2 0.6669 0.6669 0.1155
Ag1 0.3363 0.3363 0.2930
Ag2 0.6637 0.6637 0.7070


10.
A plane-wave DFT calculation with GGA-PBE was carried out for a geometry-optimized PrIn2Ag4 structure.

Summary:
The raw total energy is -2.8292 eV/atom. The value obtained for the mass density is 6.49 g cm⁻³. The space group is I4/mmm, No. 139. For the polymorph energy (0 for the lowest one), the calculation gives 3.179 eV per formula unit. The energy of formation is 265 meV/atom.

a = 6.6021 Å, b = 6.6021 Å, c = 6.6021 Å
α = 101.41°, β = 101.41°, γ = 127.18°
Fractional coordinates of all 7 atoms:
Pr1 0.0000 0.0000 0.0000
In1 0.2500 0.7500 0.5000
In2 0.7500 0.2500 0.5000
Ag1 0.2751 0.5000 0.7751
Ag2 0.5000 0.2751 0.7751
Ag3 0.5000 0.7249 0.2249
Ag4 0.7249 0.5000 0.2249


11.
A plane-wave DFT calculation with GGA-PBE was carried out for a geometry-optimized Pr4InAg structure.

Summary:
The raw total energy is -4.1885 eV/atom. The value obtained for the mass density is 6.37 g cm⁻³. The space group is Cmc2_1, No. 36. For the polymorph energy (0 for the lowest one), the calculation gives 0.850 eV per formula unit. The energy of formation is -71 meV/atom.

a = 11.1136 Å, b = 11.1136 Å, c = 6.6874 Å
α = 90.00°, β = 90.00°, γ = 150.24°
Fractional coordinates of all 12 atoms:
Pr1 0.0599 0.9401 0.5000
Pr2 0.2055 0.7945 0.7625
Pr3 0.2160 0.7840 0.2835
Pr4 0.3812 0.6188 0.5332
Pr5 0.6188 0.3812 0.0332
Pr6 0.7840 0.2160 0.7835
Pr7 0.7945 0.2055 0.2625
Pr8 0.9401 0.0599 0.0000
In1 0.3491 0.6509 0.0225
In2 0.6509 0.3491 0.5225
Ag1 0.0805 0.9195 0.0111
Ag2 0.9195 0.0805 0.5111


12.
A plane-wave DFT calculation with GGA-PBE was carried out for a geometry-optimized PrInAg3 structure.

Summary:
The raw total energy is -3.0472 eV/atom. The value obtained for the mass density is 6.35 g cm⁻³. The space group is I-4m2, No. 119. The energy of formation is 167 meV/atom.

a = 11.9243 Å, b = 11.9243 Å, c = 11.9243 Å
α = 154.97°, β = 154.97°, γ = 35.68°
Fractional coordinates of all 10 atoms:
Pr1 0.0000 0.0000 0.0000
Pr2 0.7500 0.2500 0.5000
In1 0.3462 0.3462 0.0000
In2 0.6538 0.6538 0.0000
Ag1 0.0904 0.5904 0.5000
Ag2 0.3733 0.1239 0.2493
Ag3 0.4096 0.9096 0.5000
Ag4 0.8746 0.1239 0.7507
Ag5 0.8761 0.1254 0.2493
Ag6 0.8761 0.6267 0.7507